The following is a DFT calculation (GGA-PBE) of a geometry-optimized LaCuPd3Au structure.

Values from the calculation:
density = 10.5 Mg/m³
energy relative to the elements = -35 kJ per mole of atoms
spin magnetization = 0.00 μB/cell

CIF file:
```
data_LaCuPd3Au
_chemical_formula_sum 'La4 Cu4 Pd12 Au4'
_space_group_name_H-M_alt 'C m c m'
_space_group_IT_number 63
_space_group_name_Hall '-C 2c 2'
_cell_length_a 5.641
_cell_length_b 14.109
_cell_length_c 5.735
_cell_angle_alpha 90.00
_cell_angle_beta 90.00
_cell_angle_gamma 90.00
loop_
_atom_site_label
_atom_site_type_symbol
_atom_site_fract_x
_atom_site_fract_y
_atom_site_fract_z
La1 La 0.000 0.162 0.250
Cu1 Cu 0.000 0.127 0.750
Pd1 Pd 0.000 0.324 0.750
Pd2 Pd 0.249 0.000 0.000
Au1 Au 0.000 0.366 0.250
```

***

The following is a DFT calculation (GGA-PBE) of a geometry-optimized LaCuPdAu structure.

Values from the calculation:
density = 9.9 Mg/m³
energy relative to the elements = -56 kJ per mole of atoms
spin magnetization = 0.00 μB/cell

CIF file:
```
data_LaCuPdAu
_chemical_formula_sum 'La2 Cu2 Pd2 Au2'
_space_group_name_H-M_alt 'C 1 m 1'
_space_group_IT_number 8
_space_group_name_Hall 'C -2y'
_cell_length_a 7.709
_cell_length_b 4.455
_cell_length_c 5.592
_cell_angle_alpha 90.00
_cell_angle_beta 117.51
_cell_angle_gamma 90.00
loop_
_atom_site_label
_atom_site_type_symbol
_atom_site_fract_x
_atom_site_fract_y
_atom_site_fract_z
La1 La 0.000 0.000 0.000
Cu1 Cu 0.013 0.500 0.538
Pd1 Pd 0.213 0.000 0.640
Au1 Au 0.289 0.500 0.367
```

***

The following is a DFT calculation (GGA-PBE) of a geometry-optimized La2Cu2Pd5Au structure.

Values from the calculation:
density = 10.3 Mg/m³
energy relative to the elements = -59 kJ per mole of atoms
spin magnetization = 0.00 μB/cell

CIF file:
```
data_La2Cu2Pd5Au
_chemical_formula_sum 'La4 Cu4 Pd10 Au2'
_space_group_name_H-M_alt 'P 4/m b m'
_space_group_IT_number 127
_space_group_name_Hall '-P 4 2ab'
_cell_length_a 9.534
_cell_length_b 9.534
_cell_length_c 4.035
_cell_angle_alpha 90.00
_cell_angle_beta 90.00
_cell_angle_gamma 90.00
loop_
_atom_site_label
_atom_site_type_symbol
_atom_site_fract_x
_atom_site_fract_y
_atom_site_fract_z
La1 La 0.181 0.319 0.000
Cu1 Cu 0.116 0.616 0.000
Pd1 Pd 0.000 0.500 0.500
Pd2 Pd 0.065 0.792 0.500
Au1 Au 0.000 0.000 0.000
```

***

The following is a DFT calculation (GGA-PBE) of a geometry-optimized LaPmCuAu structure.

Values from the calculation:
density = 8.7 Mg/m³
energy relative to the elements = -47 kJ per mole of atoms
E above lowest polymorph = 0.00 eV per formula unit
spin magnetization = 0.00 μB/cell

CIF file:
```
data_LaPmCuAu
_chemical_formula_sum 'La2 Pm2 Cu2 Au2'
_space_group_name_H-M_alt 'A m m 2'
_space_group_IT_number 38
_space_group_name_Hall 'A 2 -2'
_cell_length_a 4.666
_cell_length_b 3.938
_cell_length_c 11.252
_cell_angle_alpha 90.00
_cell_angle_beta 90.00
_cell_angle_gamma 90.00
loop_
_atom_site_label
_atom_site_type_symbol
_atom_site_fract_x
_atom_site_fract_y
_atom_site_fract_z
La1 La 0.000 0.000 0.000
Pm1 Pm 0.500 0.000 0.723
Cu1 Cu 0.500 0.000 0.437
Au1 Au 0.000 0.000 0.284
```

***

The following is a DFT calculation (GGA-PBE) of a geometry-optimized LaPmCuAu structure.

Values from the calculation:
density = 9.0 Mg/m³
energy relative to the elements = -43 kJ per mole of atoms
E above lowest polymorph = 0.16 eV per formula unit
spin magnetization = 0.00 μB/cell

CIF file:
```
data_LaPmCuAu
_chemical_formula_sum 'La4 Pm4 Cu4 Au4'
_space_group_name_H-M_alt 'F -4 3 m'
_space_group_IT_number 216
_space_group_name_Hall 'F -4 2 3'
_cell_length_a 7.379
_cell_length_b 7.379
_cell_length_c 7.379
_cell_angle_alpha 90.00
_cell_angle_beta 90.00
_cell_angle_gamma 90.00
loop_
_atom_site_label
_atom_site_type_symbol
_atom_site_fract_x
_atom_site_fract_y
_atom_site_fract_z
La1 La 0.000 0.000 0.000
Pm1 Pm 0.000 0.000 0.500
Cu1 Cu 0.250 0.250 0.250
Au1 Au 0.250 0.250 0.750
```

***

The following is a DFT calculation (GGA-PBE) of a geometry-optimized LaPrCuAu structure.

Values from the calculation:
density = 8.7 Mg/m³
energy relative to the elements = -42 kJ per mole of atoms
E above lowest polymorph = 0.18 eV per formula unit
spin magnetization = 0.00 μB/cell

CIF file:
```
data_LaPrCuAu
_chemical_formula_sum 'La4 Pr4 Cu4 Au4'
_space_group_name_H-M_alt 'F -4 3 m'
_space_group_IT_number 216
_space_group_name_Hall 'F -4 2 3'
_cell_length_a 7.430
_cell_length_b 7.430
_cell_length_c 7.430
_cell_angle_alpha 90.00
_cell_angle_beta 90.00
_cell_angle_gamma 90.00
loop_
_atom_site_label
_atom_site_type_symbol
_atom_site_fract_x
_atom_site_fract_y
_atom_site_fract_z
La1 La 0.000 0.000 0.000
Pr1 Pr 0.000 0.000 0.500
Cu1 Cu 0.250 0.250 0.250
Au1 Au 0.250 0.250 0.750
```

***

The following is a DFT calculation (GGA-PBE) of a geometry-optimized LaPrCuAu structure.

Values from the calculation:
density = 8.5 Mg/m³
energy relative to the elements = -46 kJ per mole of atoms
E above lowest polymorph = 0.00 eV per formula unit
spin magnetization = 0.00 μB/cell

CIF file:
```
data_LaPrCuAu
_chemical_formula_sum 'La2 Pr2 Cu2 Au2'
_space_group_name_H-M_alt 'A m m 2'
_space_group_IT_number 38
_space_group_name_Hall 'A 2 -2'
_cell_length_a 4.710
_cell_length_b 4.011
_cell_length_c 11.181
_cell_angle_alpha 90.00
_cell_angle_beta 90.00
_cell_angle_gamma 90.00
loop_
_atom_site_label
_atom_site_type_symbol
_atom_site_fract_x
_atom_site_fract_y
_atom_site_fract_z
La1 La 0.000 0.000 0.000
Pr1 Pr 0.500 0.000 0.722
Cu1 Cu 0.000 0.000 0.286
Au1 Au 0.500 0.000 0.436
```

***

The following is a DFT calculation (GGA-PBE) of a geometry-optimized LaCuPtAu2 structure.

Values from the calculation:
density = 7.7 Mg/m³
energy relative to the elements = 82 kJ per mole of atoms
spin magnetization = 0.00 μB/cell

CIF file:
```
data_LaCuPtAu2
_chemical_formula_sum 'La1 Cu1 Pt1 Au2'
_space_group_name_H-M_alt 'P 4/m m m'
_space_group_IT_number 123
_space_group_name_Hall '-P 4 2'
_cell_length_a 5.685
_cell_length_b 5.685
_cell_length_c 5.271
_cell_angle_alpha 90.00
_cell_angle_beta 90.00
_cell_angle_gamma 90.00
loop_
_atom_site_label
_atom_site_type_symbol
_atom_site_fract_x
_atom_site_fract_y
_atom_site_fract_z
La1 La 0.000 0.000 0.000
Cu1 Cu 0.500 0.500 0.500
Pt1 Pt 0.000 0.000 0.500
Au1 Au 0.000 0.500 0.000
```

***

The following is a DFT calculation (GGA-PBE) of a geometry-optimized La2Cu3Pt12Au structure.

Values from the calculation:
density = 13.5 Mg/m³
energy relative to the elements = 0 kJ per mole of atoms
spin magnetization = 0.00 μB/cell

CIF file:
```
data_La2Cu3Pt12Au
_chemical_formula_sum 'La6 Cu9 Pt36 Au3'
_space_group_name_H-M_alt 'R -3 m'
_space_group_IT_number 166
_space_group_name_Hall '-R 3 2"'
_cell_length_a 7.9817
_cell_length_b 7.9817
_cell_length_c 20.1035
_cell_angle_alpha 90.00
_cell_angle_beta 90.00
_cell_angle_gamma 120.00
loop_
_atom_site_label
_atom_site_type_symbol
_atom_site_fract_x
_atom_site_fract_y
_atom_site_fract_z
La1 La 0.0000 0.0000 0.1202
Cu1 Cu 0.0000 0.5000 0.0000
Pt1 Pt 0.0034 0.5017 0.6262
Pt2 Pt 0.0231 0.5116 0.8767
Au1 Au 0.0000 0.0000 0.5000
```

***

The following is a DFT calculation (GGA-PBE) of a geometry-optimized La2CuPtAu structure.

Values from the calculation:
density = 10.1 Mg/m³
energy relative to the elements = -72 kJ per mole of atoms
spin magnetization = 0.00 μB/cell

CIF file:
```
data_La2CuPtAu
_chemical_formula_sum 'La4 Cu2 Pt2 Au2'
_space_group_name_H-M_alt 'P 1 21/m 1'
_space_group_IT_number 11
_space_group_name_Hall '-P 2yb'
_cell_length_a 7.502
_cell_length_b 4.514
_cell_length_c 7.538
_cell_angle_alpha 90.00
_cell_angle_beta 108.92
_cell_angle_gamma 90.00
loop_
_atom_site_label
_atom_site_type_symbol
_atom_site_fract_x
_atom_site_fract_y
_atom_site_fract_z
La1 La 0.053 0.250 0.206
La2 La 0.361 0.750 0.646
Cu1 Cu 0.342 0.250 0.952
Pt1 Pt 0.090 0.250 0.619
Au1 Au 0.339 0.750 0.170
```

***

The following is a DFT calculation (GGA-PBE) of a geometry-optimized LaCuPt3Au structure.

Values from the calculation:
density = 14.4 Mg/m³
energy relative to the elements = -42 kJ per mole of atoms
spin magnetization = 0.00 μB/cell

CIF file:
```
data_LaCuPt3Au
_chemical_formula_sum 'La4 Cu4 Pt12 Au4'
_space_group_name_H-M_alt 'C m c m'
_space_group_IT_number 63
_space_group_name_Hall '-C 2c 2'
_cell_length_a 5.728
_cell_length_b 13.727
_cell_length_c 5.793
_cell_angle_alpha 90.00
_cell_angle_beta 90.00
_cell_angle_gamma 90.00
loop_
_atom_site_label
_atom_site_type_symbol
_atom_site_fract_x
_atom_site_fract_y
_atom_site_fract_z
La1 La 0.000 0.185 0.250
Cu1 Cu 0.000 0.392 0.250
Pt1 Pt 0.000 0.353 0.750
Pt2 Pt 0.237 0.000 0.000
Au1 Au 0.000 0.154 0.750
```

***

The following is a DFT calculation (GGA-PBE) of a geometry-optimized LaPuCuAu structure.

Values from the calculation:
density = 10.9 Mg/m³
energy relative to the elements = -26 kJ per mole of atoms
spin magnetization = 23.83 μB/cell

CIF file:
```
data_LaPuCuAu
_chemical_formula_sum 'La4 Pu4 Cu4 Au4'
_space_group_name_H-M_alt 'F -4 3 m'
_space_group_IT_number 216
_space_group_name_Hall 'F -4 2 3'
_cell_length_a 7.325
_cell_length_b 7.325
_cell_length_c 7.325
_cell_angle_alpha 90.00
_cell_angle_beta 90.00
_cell_angle_gamma 90.00
loop_
_atom_site_label
_atom_site_type_symbol
_atom_site_fract_x
_atom_site_fract_y
_atom_site_fract_z
La1 La 0.000 0.000 0.000
Pu1 Pu 0.000 0.000 0.500
Cu1 Cu 0.250 0.250 0.250
Au1 Au 0.250 0.250 0.750
```